Arrangement P

# MgPaBi | Alexandria via LeMat-Bulk | GGA-PBE | optimized geometry
data_MgPaBi
_space_group_name_H-M_alt 'P 3 m 1'
_space_group_IT_number 156
_space_group_name_Hall 'P 3 -2"'
_cell_length_a 5.2968
_cell_length_b 5.2968
_cell_length_c 3.2644
_cell_angle_alpha 90.00
_cell_angle_beta 90.00
_cell_angle_gamma 120.00
loop_
_atom_site_label
_atom_site_type_symbol
_atom_site_fract_x
_atom_site_fract_y
_atom_site_fract_z
Mg1 Mg 0.0000 0.0000 0.0000
Pa1 Pa 0.6667 0.3333 0.5006
Bi1 Bi 0.3333 0.6667 0.0020
# - Size of the total moment: 0.539 μB/atom
# - Fermi-level density of states: 4.4 states/eV per cell

=====

Arrangement Q

# MgPaBi | Alexandria via LeMat-Bulk | GGA-PBE | optimized geometry
data_MgPaBi
_space_group_name_H-M_alt 'A m m 2'
_space_group_IT_number 38
_space_group_name_Hall 'A 2 -2'
_cell_length_a 16.5473
_cell_length_b 3.3383
_cell_length_c 5.7826
_cell_angle_alpha 90.00
_cell_angle_beta 90.00
_cell_angle_gamma 90.00
loop_
_atom_site_label
_atom_site_type_symbol
_atom_site_fract_x
_atom_site_fract_y
_atom_site_fract_z
Mg1 Mg 0.1655 0.0000 0.0000
Pa1 Pa 0.3316 0.0000 0.6665
Bi1 Bi 0.0000 0.0000 0.6670
Bi2 Bi 0.5000 0.0000 0.9989
# - Size of the total moment: 0.001 μB/atom
# - Fermi-level density of states: 16.4 states/eV per cell

=====

Arrangement R

# MgPaBi | Alexandria via LeMat-Bulk | GGA-PBE | optimized geometry
data_MgPaBi
_space_group_name_H-M_alt 'I 4 m m'
_space_group_IT_number 107
_space_group_name_Hall 'I 4 -2'
_cell_length_a 3.2587
_cell_length_b 3.2587
_cell_length_c 15.3742
_cell_angle_alpha 90.00
_cell_angle_beta 90.00
_cell_angle_gamma 90.00
loop_
_atom_site_label
_atom_site_type_symbol
_atom_site_fract_x
_atom_site_fract_y
_atom_site_fract_z
Mg1 Mg 0.0000 0.0000 0.0000
Pa1 Pa 0.0000 0.0000 0.6587
Bi1 Bi 0.0000 0.0000 0.3258
# - Size of the total moment: 0.361 μB/atom
# - Fermi-level density of states: 10.0 states/eV per cell

=====

The least stable of them is arrangement R.

=====

Arrangement P

# MgPa2Bi4 | Alexandria via LeMat-Bulk | GGA-PBE | optimized geometry
data_MgPa2Bi4
_space_group_name_H-M_alt 'C m m m'
_space_group_IT_number 65
_space_group_name_Hall '-C 2 2'
_cell_length_a 8.1185
_cell_length_b 10.2548
_cell_length_c 5.0366
_cell_angle_alpha 90.00
_cell_angle_beta 90.00
_cell_angle_gamma 90.00
loop_
_atom_site_label
_atom_site_type_symbol
_atom_site_fract_x
_atom_site_fract_y
_atom_site_fract_z
Mg1 Mg 0.0000 0.0000 0.0000
Pa1 Pa 0.0000 0.2343 0.5000
Bi1 Bi 0.2327 0.5000 0.5000
Bi2 Bi 0.2500 0.2500 0.0000
# - Size of the total moment: 0.029 μB/atom
# - Fermi-level density of states: 11.7 states/eV per cell

=====

Arrangement Q

# MgPa2Bi4 | Alexandria via LeMat-Bulk | GGA-PBE | optimized geometry
data_MgPa2Bi4
_space_group_name_H-M_alt 'P -4 m 2'
_space_group_IT_number 115
_space_group_name_Hall 'P -4 -2'
_cell_length_a 4.4868
_cell_length_b 4.4868
_cell_length_c 10.7428
_cell_angle_alpha 90.00
_cell_angle_beta 90.00
_cell_angle_gamma 90.00
loop_
_atom_site_label
_atom_site_type_symbol
_atom_site_fract_x
_atom_site_fract_y
_atom_site_fract_z
Mg1 Mg 0.0000 0.0000 0.0000
Pa1 Pa 0.0000 0.5000 0.7301
Bi1 Bi 0.0000 0.0000 0.5000
Bi2 Bi 0.0000 0.5000 0.1820
Bi3 Bi 0.5000 0.5000 0.5000
# - Size of the total moment: 0.383 μB/atom
# - Fermi-level density of states: 12.2 states/eV per cell

=====

The least stable of them is arrangement Q.

=====

Arrangement P

# Mg6BiPb2 | Alexandria via LeMat-Bulk | GGA-PBE | optimized geometry
data_Mg6BiPb2
_space_group_name_H-M_alt 'P 1 21/c 1'
_space_group_IT_number 14
_space_group_name_Hall '-P 2ybc'
_cell_length_a 6.0197
_cell_length_b 8.0680
_cell_length_c 11.5969
_cell_angle_alpha 90.00
_cell_angle_beta 121.11
_cell_angle_gamma 90.00
loop_
_atom_site_label
_atom_site_type_symbol
_atom_site_fract_x
_atom_site_fract_y
_atom_site_fract_z
Mg1 Mg 0.1040 0.0632 0.2077
Mg2 Mg 0.2105 0.7456 0.5768
Mg3 Mg 0.3611 0.1417 0.0259
Bi1 Bi 0.5000 0.0000 0.5000
Pb1 Pb 0.2765 0.0758 0.7160
# - Size of the total moment: 0.000 μB/atom
# - Fermi-level density of states: 8.5 states/eV per cell

=====

Arrangement Q

# Mg6BiPb2 | Alexandria via LeMat-Bulk | GGA-PBE | optimized geometry
data_Mg6BiPb2
_space_group_name_H-M_alt 'C 1 2/c 1'
_space_group_IT_number 15
_space_group_name_Hall '-C 2yc'
_cell_length_a 14.5801
_cell_length_b 11.1025
_cell_length_c 5.7273
_cell_angle_alpha 90.00
_cell_angle_beta 100.38
_cell_angle_gamma 90.00
loop_
_atom_site_label
_atom_site_type_symbol
_atom_site_fract_x
_atom_site_fract_y
_atom_site_fract_z
Mg1 Mg 0.0545 0.1282 0.0255
Mg2 Mg 0.1114 0.3706 0.3091
Mg3 Mg 0.2234 0.3709 0.8590
Bi1 Bi 0.0000 0.3767 0.7500
Pb1 Pb 0.1681 0.1203 0.5846
# - Size of the total moment: 0.000 μB/atom
# - Fermi-level density of states: 17.6 states/eV per cell

=====

The least stable of them is arrangement P.

=====

Arrangement P

# Mg2BiPb | Alexandria via LeMat-Bulk | GGA-PBE | optimized geometry
data_Mg2BiPb
_space_group_name_H-M_alt 'P m m n'
_space_group_IT_number 59
_cell_length_a 5.5574
_cell_length_b 6.9029
_cell_length_c 5.5808
_cell_angle_alpha 90.00
_cell_angle_beta 90.00
_cell_angle_gamma 90.00
loop_
_space_group_symop_operation_xyz
'x,y,z'
'-x,-y,-z'
'-x+1/2,-y+1/2,z'
'x+1/2,y+1/2,-z'
'x+1/2,-y,-z'
'-x+1/2,y,z'
'-x,y+1/2,-z'
'x,-y+1/2,z'
loop_
_atom_site_label
_atom_site_type_symbol
_atom_site_fract_x
_atom_site_fract_y
_atom_site_fract_z
Mg1 Mg 0.2500 0.9998 0.2099
Bi1 Bi 0.2500 0.2500 0.7171
Pb1 Pb 0.2500 0.7500 0.7119
# - Size of the total moment: 0.000 μB/atom
# - Fermi-level density of states: 3.8 states/eV per cell

=====

Arrangement Q

# Mg2BiPb | Alexandria via LeMat-Bulk | GGA-PBE | optimized geometry
data_Mg2BiPb
_space_group_name_H-M_alt 'P 1 21/m 1'
_space_group_IT_number 11
_space_group_name_Hall '-P 2yb'
_cell_length_a 4.3579
_cell_length_b 4.7492
_cell_length_c 10.4202
_cell_angle_alpha 90.00
_cell_angle_beta 93.43
_cell_angle_gamma 90.00
loop_
_atom_site_label
_atom_site_type_symbol
_atom_site_fract_x
_atom_site_fract_y
_atom_site_fract_z
Mg1 Mg 0.0216 0.2500 0.1280
Mg2 Mg 0.0437 0.7500 0.3671
Bi1 Bi 0.4415 0.7500 0.6275
Pb1 Pb 0.4757 0.2500 0.8787
# - Size of the total moment: 0.000 μB/atom
# - Fermi-level density of states: 3.2 states/eV per cell

=====

Arrangement R

# Mg2BiPb | Alexandria via LeMat-Bulk | GGA-PBE | optimized geometry
data_Mg2BiPb
_space_group_name_H-M_alt 'R 3 m'
_space_group_IT_number 160
_space_group_name_Hall 'R 3 -2"'
_cell_length_a 4.6746
_cell_length_b 4.6746
_cell_length_c 18.6096
_cell_angle_alpha 90.00
_cell_angle_beta 90.00
_cell_angle_gamma 120.00
loop_
_atom_site_label
_atom_site_type_symbol
_atom_site_fract_x
_atom_site_fract_y
_atom_site_fract_z
Mg1 Mg 0.0000 0.0000 0.0000
Mg2 Mg 0.0000 0.0000 0.1725
Bi1 Bi 0.0000 0.0000 0.5885
Pb1 Pb 0.0000 0.0000 0.4163
# - Size of the total moment: 0.000 μB/atom
# - Fermi-level density of states: 5.5 states/eV per cell

=====

The least stable of them is arrangement P.